{
  "formula": "ZnCuP2",
  "functional": "PBE-GGA",
  "state": "relaxed",
  "energy_ev_per_atom": -3.966,
  "crystal_system": "monoclinic",
  "space_group": "C2/m, No. 12",
  "lattice": [[-3.635, -2.593, -3.420], [-0.822, -4.209, -3.639], [-0.608, -1.534, 3.509]],
  "species": ["Cu", "P", "P", "Zn"],
  "fractional_positions": [[0.250, 0.250, 0.250], [0.469, 0.469, 0.399], [0.031, 0.031, 0.101], [0.750, 0.750, 0.750]]
}